No. 1
DFT (PBEsol) results for crystalline MgAsOF2 at its relaxed geometry.

Cell: 3.696 3.696 4.295 Å, 90.00 90.00 90.00°
Element x y z (fractional)
Mg 0.000 0.000 0.000
As 0.500 0.500 0.500
O 0.000 0.000 0.500
F 0.000 0.500 0.000
F 0.500 0.000 0.000

Raw formation energy   -1.704 eV per atom
Size of the total moment   0.847 μB/cell
Space-group type   P4/mmm, No. 123



No. 2
DFT (PBEsol) results for crystalline MnAsOF2 at its relaxed geometry.

Cell: 4.017 4.017 3.817 Å, 90.00 90.00 90.00°
Element x y z (fractional)
Mn 0.000 0.000 0.000
As 0.500 0.500 0.500
O 0.000 0.000 0.500
F 0.000 0.500 0.000
F 0.500 0.000 0.000

Raw formation energy   -1.034 eV per atom
Size of the total moment   4.024 μB/cell
Space-group type   P4/mmm, No. 123



No. 3
DFT (PBEsol) results for crystalline SiMoAsF2 at its relaxed geometry.

Cell: 3.799 3.799 5.465 Å, 90.00 90.00 90.00°
Element x y z (fractional)
Si 0.000 0.000 0.000
Mo 0.500 0.500 0.000
As 0.500 0.500 0.500
F 0.000 0.500 0.500
F 0.500 0.000 0.500

Raw formation energy   -0.425 eV per atom
Size of the total moment   0.998 μB/cell
Space-group type   P4/mmm, No. 123



No. 4
DFT (PBEsol) results for crystalline NaAsN2F at its relaxed geometry.

Cell: 3.646 3.646 4.393 Å, 90.00 90.00 90.00°
Element x y z (fractional)
Na 0.000 0.000 0.000
As 0.500 0.500 0.500
N 0.000 0.500 0.500
N 0.500 0.000 0.500
F 0.500 0.500 0.000

Raw formation energy   -0.056 eV per atom
Size of the total moment   0.157 μB/cell
Space-group type   P4/mmm, No. 123



No. 5
DFT (PBEsol) results for crystalline AsS3N2F6 at its relaxed geometry.

Cell: 5.575 7.725 9.472 Å, 88.25 80.38 73.92°
Element x y z (fractional)
As 0.077 0.279 0.220
As 0.923 0.721 0.780
S 0.275 0.140 0.801
S 0.445 0.765 0.442
S 0.467 0.707 0.154
S 0.533 0.293 0.846
S 0.555 0.235 0.558
S 0.725 0.860 0.199
N 0.348 0.142 0.631
N 0.352 0.686 0.318
N 0.648 0.314 0.682
N 0.652 0.858 0.369
F 0.040 0.079 0.304
F 0.123 0.475 0.134
F 0.139 0.590 0.640
F 0.168 0.717 0.874
F 0.297 0.147 0.078
F 0.329 0.268 0.312
F 0.671 0.732 0.688
F 0.703 0.853 0.922
F 0.832 0.283 0.126
F 0.861 0.410 0.360
F 0.877 0.525 0.866
F 0.960 0.921 0.696

Raw formation energy   -1.153 eV per atom
Distance to the lowest polymorph of the same formula   0.27 eV per formula unit
Size of the total moment   2.015 μB/cell
Space-group type   P-1, No. 2



No. 6
DFT (PBEsol) results for crystalline AsS3N2F6 at its relaxed geometry.

Cell: 8.438 8.194 11.051 Å, 90.00 95.36 90.00°
Element x y z (fractional)
As 0.234 0.100 0.369
As 0.234 0.400 0.869
As 0.766 0.600 0.131
As 0.766 0.900 0.631
S 0.146 0.558 0.359
S 0.146 0.942 0.859
S 0.354 0.630 0.559
S 0.354 0.870 0.059
S 0.462 0.650 0.385
S 0.462 0.850 0.885
S 0.538 0.150 0.115
S 0.538 0.350 0.615
S 0.646 0.130 0.941
S 0.646 0.370 0.441
S 0.854 0.058 0.141
S 0.854 0.442 0.641
N 0.182 0.581 0.500
N 0.182 0.919 0.000
N 0.304 0.605 0.303
N 0.304 0.895 0.803
N 0.696 0.105 0.197
N 0.696 0.395 0.697
N 0.818 0.081 0.000
N 0.818 0.419 0.500
F 0.060 0.195 0.407
F 0.060 0.305 0.907
F 0.130 0.574 0.815
F 0.130 0.926 0.315
F 0.207 0.191 0.224
F 0.207 0.309 0.724
F 0.270 0.016 0.513
F 0.270 0.484 0.013
F 0.345 0.220 0.921
F 0.345 0.280 0.421
F 0.414 0.016 0.327
F 0.414 0.484 0.827
F 0.586 0.516 0.173
F 0.586 0.984 0.673
F 0.655 0.720 0.579
F 0.655 0.780 0.079
F 0.730 0.516 0.987
F 0.730 0.984 0.487
F 0.793 0.691 0.276
F 0.793 0.809 0.776
F 0.870 0.074 0.685
F 0.870 0.426 0.185
F 0.940 0.695 0.093
F 0.940 0.805 0.593

Raw formation energy   -1.176 eV per atom
Distance to the lowest polymorph of the same formula   0.00 eV per formula unit
Size of the total moment   0.000 μB/cell
Space-group type   P2_1/c, No. 14